# 1
Here is a geometry-optimized La5PmSc structure from Alexandria via LeMat-Bulk. Energies are from PBE-GGA.

Structure (extended XYZ):
```
7
Lattice="-3.810 3.763 1.091 0.505 -1.038 5.342 6.116 6.020 0.592" Properties=species:S:1:pos:R:3 pbc="T T T"
La -0.120 3.639 0.718
La 2.426 6.145 0.965
Pm 0.000 0.000 0.000
La -1.652 1.363 3.217
La 2.037 1.238 2.844
Sc 3.058 3.010 0.296
La 4.583 3.744 3.090
```

ΔH_f (0 K): 0.22 eV/atom

# 2
Here is a geometry-optimized HfCoRe2Mo structure from Alexandria via LeMat-Bulk. Energies are from PBE-GGA.

Structure (extended XYZ):
```
5
Lattice="4.670 0.000 0.000 0.000 4.891 0.000 0.000 0.000 4.670" Properties=species:S:1:pos:R:3 pbc="T T T"
Re 2.335 0.000 0.000
Mo 0.000 0.000 0.000
Co 2.335 2.446 2.335
Hf 0.000 2.446 0.000
Re 0.000 0.000 2.335
```

ΔH_f (0 K): 1.93 eV/atom

# 3
Here is a geometry-optimized HgRuSe structure from Alexandria via LeMat-Bulk. Energies are from PBE-GGA.

Structure (extended XYZ):
```
3
Lattice="4.448 0.000 0.000 2.224 3.852 0.000 2.224 1.284 3.632" Properties=species:S:1:pos:R:3 pbc="T T T"
Ru 6.673 3.852 2.724
Se 0.000 0.000 0.000
Hg 4.448 2.568 1.816
```

E_form (uncorrected): 0.4617 eV/atom
Distance to the lowest polymorph of the same formula: 46.2 kJ/mol of atoms

# 4
Here is a geometry-optimized PrAu2Cl6 structure from Alexandria via LeMat-Bulk. Energies are from PBE-GGA.

Structure (extended XYZ):
```
18
Lattice="-3.203 -5.160 -4.005 2.827 -7.611 4.833 -7.804 -1.274 5.171" Properties=species:S:1:pos:R:3 pbc="T T T"
Cl -4.067 -5.343 1.925
Au -5.420 -6.960 4.815
Cl -7.301 -5.635 5.349
Cl -5.652 -11.697 6.498
Au -2.760 -7.085 1.184
Au -3.260 -3.252 3.253
Cl -4.277 -8.752 -0.121
Cl -0.878 -8.409 0.650
Cl -4.113 -8.701 4.073
Au -4.920 -10.792 2.745
Cl -2.489 -5.906 -2.554
Pr -7.634 -3.142 4.139
Pr -0.545 -10.902 1.860
Cl -5.691 -8.139 8.553
Cl -2.528 -2.348 -0.500
Cl -2.838 -11.830 3.153
Cl -5.342 -2.214 2.846
Cl -3.903 -5.292 6.120
```

E_form (uncorrected): -1.0390 eV/atom

# 5
Here is a geometry-optimized Sr2ZrTeF structure from Alexandria via LeMat-Bulk. Energies are from PBE-GGA.

Structure (extended XYZ):
```
5
Lattice="6.435 0.000 0.000 0.000 4.538 0.000 0.000 0.000 6.435" Properties=species:S:1:pos:R:3 pbc="T T T"
Te 0.000 0.000 0.000
Sr 0.000 0.000 3.218
F 0.000 2.269 0.000
Zr 3.218 2.269 3.218
Sr 3.218 0.000 0.000
```

E_form (uncorrected): -0.1977 eV/atom

# 6
Here is a geometry-optimized Ce4P5Pd structure from Alexandria via LeMat-Bulk. Energies are from PBE-GGA.

Structure (extended XYZ):
```
10
Lattice="-1.814 1.342 -3.386 -3.927 1.061 0.080 2.047 15.186 2.478" Properties=species:S:1:pos:R:3 pbc="T T T"
Ce 0.737 10.427 1.294
P -0.217 6.963 0.432
P -2.960 4.754 -1.419
P 0.000 0.000 0.000
Pd -1.847 8.795 -0.414
Ce -4.431 7.163 -2.121
P -0.735 12.835 0.592
Ce -2.212 15.224 -0.115
P -3.478 10.626 -1.259
Ce -1.483 2.365 -0.713
```

ΔH_f (0 K): -1.23 eV/atom

# 7
Here is a geometry-optimized FePSe2Br structure from Alexandria via LeMat-Bulk. Energies are from PBE-GGA.

Structure (extended XYZ):
```
5
Lattice="4.614 0.000 0.000 0.000 4.614 0.000 0.000 0.000 4.835" Properties=species:S:1:pos:R:3 pbc="T T T"
Fe 0.000 0.000 0.000
Se 0.000 2.307 0.000
Br 0.000 0.000 2.417
Se 2.307 0.000 0.000
P 2.307 2.307 2.417
```

E_form (uncorrected): 0.6518 eV/atom
Distance to the lowest polymorph of the same formula: 0.0 kJ/mol of atoms

# 8
Here is a geometry-optimized DyPu2Si2Pt7 structure from Alexandria via LeMat-Bulk. Energies are from PBE-GGA.

Structure (extended XYZ):
```
12
Lattice="4.056 0.018 -0.088 0.023 4.056 -0.088 1.671 1.669 13.660" Properties=species:S:1:pos:R:3 pbc="T T T"
Dy 0.000 0.000 0.000
Pt 2.252 2.250 5.731
Pt 3.498 3.494 7.752
Pt 1.638 3.649 11.433
Pt 2.040 2.037 -0.088
Pu 1.502 1.500 8.700
Pu 4.249 4.243 4.784
Si 3.640 3.635 10.100
Pt 3.651 1.633 11.433
Si 2.111 2.108 3.383
Pt 4.112 2.094 2.051
Pt 2.099 4.110 2.051
```

E_form (uncorrected): -0.9547 eV/atom

# 9
Here is a geometry-optimized Ba2TlSn8 structure from Alexandria via LeMat-Bulk. Energies are from PBE-GGA.

Structure (extended XYZ):
```
11
Lattice="-5.179 -3.070 -4.211 1.402 -2.588 -6.125 3.513 -4.907 8.809" Properties=species:S:1:pos:R:3 pbc="T T T"
Sn 1.519 -5.189 -1.229
Sn 0.016 -2.732 -0.305
Sn -1.107 -9.201 -3.761
Sn -1.783 -5.375 -0.299
Tl -2.589 -1.535 -2.106
Sn -0.280 -7.833 -1.223
Ba 1.112 -5.291 2.490
Sn -3.816 -3.702 -6.162
Sn 0.844 -1.363 2.232
Sn 0.039 -1.956 -4.174
Ba -1.375 -5.273 -4.018
```

ΔH_f (0 K): -0.28 eV/atom

# 10
Here is a geometry-optimized Ho5ZnSb2 structure from Alexandria via LeMat-Bulk. Energies are from PBE-GGA.

Structure (extended XYZ):
```
16
Lattice="5.645 0.000 0.000 -2.823 5.794 0.000 0.000 0.000 13.906" Properties=species:S:1:pos:R:3 pbc="T T T"
Zn 0.000 3.333 3.477
Sb 2.823 3.486 5.338
Ho 0.000 4.360 0.722
Ho 0.000 4.360 6.231
Ho 2.823 1.434 7.675
Sb 2.823 3.486 1.615
Ho 2.823 1.434 13.184
Zn 2.823 2.461 10.430
Ho 2.823 4.980 8.407
Sb 0.000 2.308 8.568
Ho 2.823 0.998 3.477
Ho 2.823 4.980 12.452
Ho 0.000 0.814 5.499
Ho 0.000 0.814 1.454
Ho 0.000 4.796 10.430
Sb 0.000 2.308 12.291
```

E_form (uncorrected): -0.3372 eV/atom

# 11
Here is a geometry-optimized Na3Tl5Pb2 structure from Alexandria via LeMat-Bulk. Energies are from PBE-GGA.

Structure (extended XYZ):
```
20
Lattice="-1.978 -2.052 -10.396 8.827 -3.421 -1.004 -5.585 -3.307 7.304" Properties=species:S:1:pos:R:3 pbc="T T T"
Tl 2.390 -2.664 0.071
Tl 4.356 -4.836 -5.463
Pb -1.592 -2.590 -4.775
Tl -1.603 -3.615 -1.776
Pb -0.525 -1.594 0.415
Tl 2.867 -5.166 -2.320
Tl -0.614 -2.589 3.422
Pb 2.856 -6.191 0.679
Na -1.483 -1.539 -7.797
Pb 1.789 -7.187 -4.510
Tl -3.092 -3.945 1.367
Na -0.061 -5.047 1.008
Na 5.375 -3.895 -0.254
Na -0.494 -0.513 -2.599
Tl -1.126 -6.116 -4.167
Tl 3.919 -2.224 -3.101
Tl 1.878 -6.192 -7.518
Na -4.111 -4.886 -3.842
Tl 2.930 -3.250 -8.299
Na 1.325 -3.734 -5.104
```

ΔH_f (0 K): 0.01 eV/atom

# 12
Here is a geometry-optimized AlCuSb structure from Alexandria via LeMat-Bulk. Energies are from PBE-GGA.

Structure (extended XYZ):
```
6
Lattice="-1.902 2.983 -2.592 -1.762 -3.056 -3.101 -6.122 -0.364 1.462" Properties=species:S:1:pos:R:3 pbc="T T T"
Sb -6.288 -0.196 -0.494
Al -7.459 0.005 -3.064
Al -3.643 -2.583 -2.902
Cu -5.842 1.993 -2.257
Sb -3.873 0.234 -3.340
Cu -4.000 1.299 -0.812
```

E_form (uncorrected): 0.0051 eV/atom
Distance to the lowest polymorph of the same formula: 0.0 kJ/mol of atoms

Number 1: DOS at the Fermi energy 12.52 states/eV/cell. Number 2: DOS at the Fermi energy 7.80 states/eV/cell. Number 3: DOS at the Fermi energy 3.90 states/eV/cell. Number 4: DOS at the Fermi energy 5.40 states/eV/cell. Number 5: DOS at the Fermi energy 5.50 states/eV/cell. Number 6: DOS at the Fermi energy 17.69 states/eV/cell. Number 7: DOS at the Fermi energy 4.75 states/eV/cell. Number 8: DOS at the Fermi energy 26.25 states/eV/cell. Number 9: DOS at the Fermi energy 4.56 states/eV/cell. Number 10: DOS at the Fermi energy 13.44 states/eV/cell. Number 11: DOS at the Fermi energy 9.02 states/eV/cell. Number 12: DOS at the Fermi energy 1.56 states/eV/cell.